The following is a PBE calculation of an optimized crystal structure of SmCoGe2, from Alexandria via LeMat-Bulk.

Computed properties:
As for the space-group type: P2_1/m, No. 11. The value obtained for the formation energy is -0.66 eV per atom.

```
SmCoGe2
1.0
4.198 0.000 0.000
0.000 4.209 0.000
-2.084 0.000 8.325
Sm Co Ge
2 2 4
Direct
0.109 0.250 0.218
0.891 0.750 0.782
0.317 0.250 0.637
0.683 0.750 0.363
0.251 0.750 0.501
0.453 0.250 0.910
0.547 0.750 0.090
0.749 0.250 0.499
```


The following is a PBE calculation of an optimized crystal structure of KMnSi, from Alexandria via LeMat-Bulk.

Computed properties:
As for the space-group type: F-43m, No. 216. The value obtained for the raw formation energy is 1506 meV per atom.

```
KMnSi
1.0
0.000 3.561 3.561
3.561 0.000 3.561
3.561 3.561 0.000
K Mn Si
1 1 1
Direct
0.000 0.000 0.000
0.250 0.250 0.250
0.750 0.750 0.750
```


The following is a PBE calculation of an optimized crystal structure of TbHoAlPt, from Alexandria via LeMat-Bulk.

Computed properties:
As for the space-group type: F-43m, No. 216. The value obtained for the formation energy is -0.74 eV per atom.

```
TbHoAlPt
1.0
0.000 3.556 3.556
3.556 0.000 3.556
3.556 3.556 0.000
Tb Ho Al Pt
1 1 1 1
Direct
0.000 0.000 0.000
0.500 0.500 0.500
0.750 0.750 0.750
0.250 0.250 0.250
```


The following is a PBE calculation of an optimized crystal structure of KLiY2Br8, from Alexandria via LeMat-Bulk.

Computed properties:
As for the space-group type: P2/m, No. 10. The value obtained for the raw formation energy is -1762 meV per atom.

```
KLiY2Br8
1.0
7.006 0.000 0.000
0.000 8.657 0.000
-0.847 0.000 7.091
K Li Y Br
1 1 2 8
Direct
0.000 0.000 0.000
0.000 0.500 0.000
0.500 0.258 0.500
0.500 0.742 0.500
0.225 0.282 0.190
0.225 0.718 0.190
0.299 0.500 0.666
0.309 0.000 0.655
0.691 0.000 0.345
0.701 0.500 0.334
0.775 0.282 0.810
0.775 0.718 0.810
```


The following is a PBE calculation of an optimized crystal structure of TlNi3Pt, from Alexandria via LeMat-Bulk.

Computed properties:
As for the space-group type: Pm-3m, No. 221. The value obtained for the formation energy is 0.89 eV per atom.

```
TlNi3Pt
1.0
4.664 0.000 0.000
0.000 4.664 0.000
0.000 0.000 4.664
Tl Ni Pt
1 3 1
Direct
0.000 0.000 0.000
0.000 0.500 0.500
0.500 0.000 0.500
0.500 0.500 0.000
0.500 0.500 0.500
```


The following is a PBE calculation of an optimized crystal structure of NdSmAlZn, from Alexandria via LeMat-Bulk.

Computed properties:
As for the space-group type: F-43m, No. 216. The value obtained for the formation energy is -0.34 eV per atom.

```
NdSmAlZn
1.0
0.000 3.695 3.695
3.695 0.000 3.695
3.695 3.695 0.000
Nd Sm Al Zn
1 1 1 1
Direct
0.000 0.000 0.000
0.500 0.500 0.500
0.250 0.250 0.250
0.750 0.750 0.750
```


The following is a PBE calculation of an optimized crystal structure of Ac2CdHgIr, from Alexandria via LeMat-Bulk.

Computed properties:
As for the space-group type: P2_1/m, No. 11. The value obtained for the formation energy is -0.52 eV per atom.

```
Ac2CdHgIr
1.0
8.562 0.000 0.000
0.000 4.379 0.000
-3.457 0.000 7.939
Ac Cd Hg Ir
4 2 2 2
Direct
0.013 0.250 0.223
0.348 0.750 0.618
0.652 0.250 0.382
0.987 0.750 0.777
0.353 0.250 0.949
0.647 0.750 0.051
0.313 0.750 0.194
0.687 0.250 0.806
0.105 0.250 0.613
0.895 0.750 0.387
```


The following is a PBE calculation of an optimized crystal structure of Ca2BiRhO6, from Alexandria via LeMat-Bulk.

Computed properties:
As for the space-group type: P2_1/c, No. 14. The value obtained for the raw formation energy is -1734 meV per atom.

```
Ca2BiRhO6
1.0
5.610 0.000 0.000
0.000 5.831 0.000
-5.417 0.000 8.028
Ca Bi Rh O
4 2 2 12
Direct
0.225 0.065 0.247
0.225 0.435 0.747
0.775 0.565 0.253
0.775 0.935 0.753
0.500 0.000 0.000
0.500 0.500 0.500
0.000 0.000 0.500
0.000 0.500 0.000
0.118 0.209 0.935
0.118 0.291 0.435
0.227 0.693 0.934
0.227 0.807 0.434
0.359 0.048 0.737
0.359 0.452 0.237
0.641 0.548 0.763
0.641 0.952 0.263
0.773 0.193 0.566
0.773 0.307 0.066
0.882 0.709 0.565
0.882 0.791 0.065
```


| no. | magnetization (μB/f.u.) | calculated volume (Å³ per cell) |
| --- | --- | --- |
| 1 | 0.0 | 147 |
| 2 | 4.0 | 90 |
| 3 | 0.0 | 90 |
| 4 | 0.0 | 430 |
| 5 | 3.0 | 101 |
| 6 | 0.0 | 101 |
| 7 | 0.0 | 298 |
| 8 | 0.0 | 263 |